Entry 1:
Ac2MgZn3Sn4 | Alexandria via LeMat-Bulk | PBE | relaxed; final energy = -3.3634 eV per atom; crystal system = tetragonal; formation energy = -38.5 kJ/mol of atoms; volume = 258.7 Å³/f.u.
1.0
4.799 0.000 0.000
0.000 4.799 0.000
0.000 0.000 11.233
Ac Mg Zn Sn
2 1 3 4
direct
0.000 0.500 0.240
0.500 0.000 0.760
0.000 0.000 0.500
0.000 0.500 0.875
0.500 0.000 0.125
0.500 0.500 0.500
0.000 0.000 0.000
0.000 0.500 0.639
0.500 0.000 0.361
0.500 0.500 0.000

Entry 2:
AcMg2Zn2Sn2 | Alexandria via LeMat-Bulk | PBE | relaxed; final energy = -2.8355 eV per atom; crystal system = trigonal; formation energy = -27.5 kJ/mol of atoms; volume = 170.6 Å³/f.u.
1.0
2.406 1.389 8.511
-2.406 1.389 8.511
0.000 -2.778 8.511
Ac Mg Zn Sn
1 2 2 2
direct
0.000 0.000 0.000
0.138 0.138 0.138
0.862 0.862 0.862
0.447 0.447 0.447
0.553 0.553 0.553
0.253 0.253 0.253
0.747 0.747 0.747

Entry 3:
Ac2Mg3ZnSn4 | Alexandria via LeMat-Bulk | PBE | relaxed; final energy = -3.4192 eV per atom; crystal system = tetragonal; formation energy = -37.7 kJ/mol of atoms; volume = 274.9 Å³/f.u.
1.0
4.950 0.000 0.000
0.000 4.950 0.000
0.000 0.000 11.217
Ac Mg Zn Sn
2 3 1 4
direct
0.000 0.500 0.245
0.500 0.000 0.755
0.000 0.500 0.874
0.500 0.000 0.126
0.500 0.500 0.500
0.000 0.000 0.500
0.000 0.000 0.000
0.000 0.500 0.630
0.500 0.000 0.370
0.500 0.500 0.000